<one>
# Tb2SmSi2, optimized geometry, DFT PBE
# Space-group type: P4/mbm, No. 127
# Magnetic moment, μB/cell: 0.00
data_Tb2SmSi2
_chemical_formula_sum 'Tb4 Sm2 Si4'
_space_group_name_H-M_alt 'P 1'
_space_group_IT_number 1
_space_group_name_Hall 'P 1'
_cell_length_a 7.622
_cell_length_b 7.622
_cell_length_c 4.194
_cell_angle_alpha 90.00
_cell_angle_beta 90.00
_cell_angle_gamma 90.00
loop_
_atom_site_label
_atom_site_fract_x
_atom_site_fract_y
_atom_site_fract_z
_atom_site_occupancy
Tb1 0.176 0.324 0.000 1
Tb2 0.324 0.824 0.000 1
Tb3 0.676 0.176 0.000 1
Tb4 0.824 0.676 0.000 1
Sm1 0.000 0.000 0.500 1
Sm2 0.500 0.500 0.500 1
Si1 0.114 0.614 0.500 1
Si2 0.386 0.114 0.500 1
Si3 0.614 0.886 0.500 1
Si4 0.886 0.386 0.500 1

---

<two>
# Tb2SmSi2, optimized geometry, DFT PBE
# Space-group type: Immm, No. 71
# Magnetic moment, μB/cell: 0.00
data_Tb2SmSi2
_chemical_formula_sum 'Tb2 Sm1 Si2'
_space_group_name_H-M_alt 'P 1'
_space_group_IT_number 1
_space_group_name_Hall 'P 1'
_cell_length_a 5.823
_cell_length_b 5.823
_cell_length_c 5.823
_cell_angle_alpha 135.74
_cell_angle_beta 113.59
_cell_angle_gamma 83.32
loop_
_atom_site_label
_atom_site_fract_x
_atom_site_fract_y
_atom_site_fract_z
_atom_site_occupancy
Tb1 0.200 0.200 0.000 1
Tb2 0.800 0.800 0.000 1
Sm1 0.500 0.000 0.500 1
Si1 0.193 0.500 0.693 1
Si2 0.807 0.500 0.307 1

---

Most stable to least stable, the ends of the list are <one> and <two>.

---

<one>
# Tb2SmSi, optimized geometry, DFT PBE
# Space-group type: R3m, No. 160
# Magnetic moment, μB/cell: 0.39
data_Tb2SmSi
_chemical_formula_sum 'Tb2 Sm1 Si1'
_space_group_name_H-M_alt 'P 1'
_space_group_IT_number 1
_space_group_name_Hall 'P 1'
_cell_length_a 9.952
_cell_length_b 9.952
_cell_length_c 9.952
_cell_angle_alpha 21.83
_cell_angle_beta 21.83
_cell_angle_gamma 21.83
loop_
_atom_site_label
_atom_site_fract_x
_atom_site_fract_y
_atom_site_fract_z
_atom_site_occupancy
Tb1 0.000 0.000 0.000 1
Tb2 0.207 0.207 0.207 1
Sm1 0.769 0.769 0.769 1
Si1 0.604 0.604 0.604 1

---

<two>
# Tb2SmSi, optimized geometry, DFT PBE
# Space-group type: P4/mmm, No. 123
# Magnetic moment, μB/cell: 0.00
data_Tb2SmSi
_chemical_formula_sum 'Tb2 Sm1 Si1'
_space_group_name_H-M_alt 'P 1'
_space_group_IT_number 1
_space_group_name_Hall 'P 1'
_cell_length_a 4.679
_cell_length_b 4.679
_cell_length_c 4.662
_cell_angle_alpha 90.00
_cell_angle_beta 90.00
_cell_angle_gamma 90.00
loop_
_atom_site_label
_atom_site_fract_x
_atom_site_fract_y
_atom_site_fract_z
_atom_site_occupancy
Tb1 0.000 0.500 0.000 1
Tb2 0.500 0.000 0.000 1
Sm1 0.000 0.000 0.500 1
Si1 0.500 0.500 0.500 1

---

<three>
# Tb2SmSi, optimized geometry, DFT PBE
# Space-group type: R-3m, No. 166
# Magnetic moment, μB/cell: 0.00
data_Tb2SmSi
_chemical_formula_sum 'Tb2 Sm1 Si1'
_space_group_name_H-M_alt 'P 1'
_space_group_IT_number 1
_space_group_name_Hall 'P 1'
_cell_length_a 11.117
_cell_length_b 11.117
_cell_length_c 11.117
_cell_angle_alpha 18.61
_cell_angle_beta 18.61
_cell_angle_gamma 18.61
loop_
_atom_site_label
_atom_site_fract_x
_atom_site_fract_y
_atom_site_fract_z
_atom_site_occupancy
Tb1 0.108 0.108 0.108 1
Tb2 0.892 0.892 0.892 1
Sm1 0.000 0.000 0.000 1
Si1 0.500 0.500 0.500 1

---

Most stable to least stable, the ends of the list are <two> and <three>.

---

<one>
# TbSmSi, optimized geometry, DFT PBE
# Space-group type: F-43m, No. 216
# Magnetic moment, μB/cell: 0.00
data_TbSmSi
_chemical_formula_sum 'Tb1 Sm1 Si1'
_space_group_name_H-M_alt 'P 1'
_space_group_IT_number 1
_space_group_name_Hall 'P 1'
_cell_length_a 4.915
_cell_length_b 4.915
_cell_length_c 4.915
_cell_angle_alpha 60.00
_cell_angle_beta 60.00
_cell_angle_gamma 60.00
loop_
_atom_site_label
_atom_site_fract_x
_atom_site_fract_y
_atom_site_fract_z
_atom_site_occupancy
Tb1 0.000 0.000 0.000 1
Sm1 0.500 0.500 0.500 1
Si1 0.750 0.750 0.750 1

---

<two>
# TbSmSi, optimized geometry, DFT PBE
# Space-group type: Fddd, No. 70
# Magnetic moment, μB/cell: 0.00
data_TbSmSi
_chemical_formula_sum 'Tb4 Sm4 Si4'
_space_group_name_H-M_alt 'P 1'
_space_group_IT_number 1
_space_group_name_Hall 'P 1'
_cell_length_a 8.981
_cell_length_b 8.218
_cell_length_c 7.429
_cell_angle_alpha 69.85
_cell_angle_beta 59.20
_cell_angle_gamma 50.95
loop_
_atom_site_label
_atom_site_fract_x
_atom_site_fract_y
_atom_site_fract_z
_atom_site_occupancy
Tb1 0.000 0.000 0.000 1
Tb2 0.000 0.000 0.500 1
Tb3 0.000 0.500 0.000 1
Tb4 0.500 0.000 0.000 1
Sm1 0.244 0.244 0.506 1
Sm2 0.494 0.494 0.756 1
Sm3 0.506 0.506 0.244 1
Sm4 0.756 0.756 0.494 1
Si1 0.173 0.577 0.173 1
Si2 0.423 0.827 0.423 1
Si3 0.577 0.173 0.577 1
Si4 0.827 0.423 0.827 1

---

Most stable to least stable, the ends of the list are <one> and <two>.

---

<one>
# TbSmSi2, optimized geometry, DFT PBE
# Space-group type: Pmc2_1, No. 26
# Magnetic moment, μB/cell: 0.00
data_TbSmSi2
_chemical_formula_sum 'Tb2 Sm2 Si4'
_space_group_name_H-M_alt 'P 1'
_space_group_IT_number 1
_space_group_name_Hall 'P 1'
_cell_length_a 3.881
_cell_length_b 5.781
_cell_length_c 8.045
_cell_angle_alpha 90.00
_cell_angle_beta 90.00
_cell_angle_gamma 90.00
loop_
_atom_site_label
_atom_site_fract_x
_atom_site_fract_y
_atom_site_fract_z
_atom_site_occupancy
Tb1 0.000 0.135 0.000 1
Tb2 0.000 0.865 0.500 1
Sm1 0.500 0.365 0.360 1
Sm2 0.500 0.635 0.860 1
Si1 0.000 0.374 0.644 1
Si2 0.000 0.626 0.144 1
Si3 0.500 0.122 0.717 1
Si4 0.500 0.878 0.217 1

---

<two>
# TbSmSi2, optimized geometry, DFT PBE
# Space-group type: R-3m, No. 166
# Magnetic moment, μB/cell: 0.00
data_TbSmSi2
_chemical_formula_sum 'Tb1 Sm1 Si2'
_space_group_name_H-M_alt 'P 1'
_space_group_IT_number 1
_space_group_name_Hall 'P 1'
_cell_length_a 5.812
_cell_length_b 5.812
_cell_length_c 5.812
_cell_angle_alpha 47.12
_cell_angle_beta 47.12
_cell_angle_gamma 47.12
loop_
_atom_site_label
_atom_site_fract_x
_atom_site_fract_y
_atom_site_fract_z
_atom_site_occupancy
Tb1 0.000 0.000 0.000 1
Sm1 0.500 0.500 0.500 1
Si1 0.254 0.254 0.254 1
Si2 0.746 0.746 0.746 1

---

Most stable to least stable, the ends of the list are <one> and <two>.